Tl2Cu PBE-GGA optimized geometry; final energy = -0.20028 Ry per atom; space group = No. 8
1.0
11.680 0.000 0.000
0.000 3.611 0.000
-0.469 0.000 7.125
Tl Cu
8 4
direct
0.000 0.000 0.000
0.060 0.000 0.472
0.271 0.500 0.257
0.342 0.000 0.648
0.500 0.500 0.000
0.560 0.500 0.472
0.771 0.000 0.257
0.842 0.500 0.648
0.143 0.500 0.769
0.235 0.000 0.969
0.643 0.000 0.769
0.735 0.500 0.969